# La7TbSm12

Crystalline La7TbSm12 at its relaxed geometry (PBE, Alexandria).

space-group type = No. 148
E_tot = -91.5 eV/cell
ΔE_f = 20.3 kJ per mole of atoms

a b c (Å): 8.9372 8.9372 8.9372
angles (deg): 87.34 87.34 87.34
Closest atoms and distances in Å follow each position.
Fractional positions:
La1 0.8417 0.6060 0.9193  3 La 3.49-3.65, 7 Sm 3.57-3.91
La2 0.3940 0.0807 0.1583  3 La 3.49-3.65, 7 Sm 3.57-3.91
La3 0.0807 0.1583 0.3940  3 La 3.49-3.65, 7 Sm 3.57-3.91
La4 0.5000 0.5000 0.5000  6 Sm 3.37
La5 0.9193 0.8417 0.6060  3 La 3.49-3.65, 7 Sm 3.57-3.91
La6 0.6060 0.9193 0.8417  3 La 3.49-3.65, 7 Sm 3.57-3.91
La7 0.1583 0.3940 0.0807  3 La 3.49-3.65, 7 Sm 3.57-3.91
Tb1 0.0000 0.0000 0.0000  6 Sm 3.50
Sm1 0.8588 0.2542 0.7264  3 Sm 3.29-3.51, 1 Tb 3.50, 2 La 3.61-3.65
Sm2 0.7458 0.2736 0.1412  3 Sm 3.29-3.51, 1 Tb 3.50, 2 La 3.61-3.65
Sm3 0.6168 0.1365 0.4958  4 Sm 3.28-3.51, 2 La 3.37-3.57
Sm4 0.8635 0.5042 0.3832  4 Sm 3.28-3.51, 2 La 3.37-3.57
Sm5 0.2736 0.1412 0.7458  3 Sm 3.29-3.51, 1 Tb 3.50, 2 La 3.61-3.65
Sm6 0.5042 0.3832 0.8635  4 Sm 3.28-3.51, 2 La 3.37-3.57
Sm7 0.4958 0.6168 0.1365  4 Sm 3.28-3.51, 2 La 3.37-3.57
Sm8 0.7264 0.8588 0.2542  3 Sm 3.29-3.51, 1 Tb 3.50, 2 La 3.61-3.65
Sm9 0.1365 0.4958 0.6168  4 Sm 3.28-3.51, 2 La 3.37-3.57
Sm10 0.3832 0.8635 0.5042  4 Sm 3.28-3.51, 2 La 3.37-3.57
Sm11 0.2542 0.7264 0.8588  3 Sm 3.29-3.51, 1 Tb 3.50, 2 La 3.61-3.65
Sm12 0.1412 0.7458 0.2736  3 Sm 3.29-3.51, 1 Tb 3.50, 2 La 3.61-3.65